Density functional theory data (GGA-PBE) for a geometry-optimized Ca2Tl5Hg12 structure.

The structure in extended XYZ format:
```
19
Lattice="-4.2495 4.5018 8.4082 -4.4439 -10.0913 -3.3260 9.1222 4.7495 2.0674" Properties=species:S:1:pos:R:3 pbc="T T T"
Tl -1.9614 -3.9897 1.1448
Hg -5.1117 -6.2176 0.7455
Hg 5.0384 3.3995 4.1017
Tl 4.5611 2.3747 1.0337
Hg -7.0614 -4.5361 5.3429
Tl 2.3902 3.1497 6.0048
Hg -1.4544 -1.6723 3.7123
Hg 0.8738 -4.1387 -0.8944
Tl -0.5080 1.0485 5.6650
Hg 5.5405 5.3776 6.4041
Hg 3.0014 5.5575 8.1322
Hg -4.6096 -4.2396 3.0479
Hg -2.5726 -6.3975 -0.9826
Hg 1.8832 0.8323 3.4373
Ca -1.0877 1.1523 2.1522
Hg -0.4450 3.2987 8.0440
Ca -3.1618 3.3495 6.2560
Tl 0.9368 -1.8886 1.4846
Hg 7.4903 3.6960 1.8067
```

Computed properties:
- SG = C2/m (12)
- formation enthalpy at 0 K (eV/atom) = -0.1455
- final energy (eV per atom) = -1.170